1.
The following is a PBEsol calculation of an optimized crystal structure of KLa3B, from Alexandria.

Structure (extended XYZ):
```
5
Lattice="-0.352 5.216 -0.394 -5.231 -0.353 -0.005 -0.032 0.392 5.228" Properties=species:S:1:pos:R:3 pbc="T T T"
La -2.615 -0.176 -0.003
La -0.016 0.196 2.614
La -0.176 2.608 -0.197
K 0.000 0.000 0.000
B -2.807 2.628 2.414
```

Properties
DFT total energy: -3.0415 eV per atom
DOS(E_F): 5.52 states/eV per cell
Symmetry: Pm-3m, No. 221

2.
The following is a PBEsol calculation of an optimized crystal structure of KLa2NiB, from Alexandria.

Structure (extended XYZ):
```
5
Lattice="4.062 0.000 0.000 0.000 5.490 0.000 0.000 0.000 5.490" Properties=species:S:1:pos:R:3 pbc="T T T"
K 2.031 2.745 2.745
La 0.000 0.000 2.745
La 0.000 2.745 0.000
Ni 0.000 0.000 0.000
B 2.031 0.000 0.000
```

Properties
DFT total energy: -4.5625 eV per atom
DOS(E_F): 6.01 states/eV per cell
Symmetry: P4/mmm, No. 123

3.
The following is a PBEsol calculation of an optimized crystal structure of K2La2B2O7, from Alexandria.

Structure (extended XYZ):
```
52
Lattice="6.648 0.000 0.000 0.000 10.764 -0.016 0.000 -5.186 10.114" Properties=species:S:1:pos:R:3 pbc="T T T"
O 0.797 -1.404 4.783
O 5.851 6.983 5.315
O 4.965 -2.643 8.103
O 2.331 1.220 8.887
O 0.993 -4.162 8.896
O 3.094 -2.430 6.562
O 1.683 8.221 1.994
O 2.315 4.563 8.669
O 3.555 8.009 3.536
O 4.923 5.149 3.364
O 1.641 2.839 2.003
O 2.527 3.978 4.775
O 4.333 1.015 1.428
O 1.599 5.811 6.726
O 1.682 1.184 3.707
O 1.643 6.566 3.699
O 5.050 -0.233 3.372
O 5.655 9.740 1.202
O 4.967 4.394 6.391
O 5.006 -0.988 6.399
O 5.007 2.740 8.095
O 1.009 -0.819 8.677
O 0.230 2.952 6.553
O 4.317 4.358 1.210
O 6.418 2.626 3.544
O 1.726 0.429 6.734
O 5.640 6.398 1.420
O 4.122 1.600 5.323
B 1.639 5.637 8.131
B 5.010 -0.059 1.967
B 4.963 5.323 1.959
B 1.026 2.245 3.070
B 5.623 3.333 7.028
B 1.685 0.255 8.139
B 2.299 7.627 3.061
B 4.350 -2.049 7.036
La 3.873 2.797 3.250
La 6.346 0.752 5.250
La 3.626 6.135 5.242
La 2.775 2.782 6.848
La 0.302 4.826 4.848
La 0.549 -2.601 6.856
La 3.022 -0.556 4.856
La 6.099 8.179 3.242
K 2.910 -2.484 9.779
K 0.414 2.898 9.771
K 1.697 -0.013 1.197
K 5.021 0.209 8.908
K 4.951 5.591 8.900
K 1.627 5.369 1.189
K 6.234 2.680 0.327
K 3.738 8.062 0.319
```

Properties
E_form (uncorrected): -2797 meV/atom
DOS(E_F): 0.00 states/eV per cell
Symmetry: P2_1/c, No. 14

4.
The following is a PBEsol calculation of an optimized crystal structure of KLa2BRu, from Alexandria.

Structure (extended XYZ):
```
5
Lattice="-2.902 2.101 2.009 -3.664 -1.767 -3.445 -0.898 -4.226 3.123" Properties=species:S:1:pos:R:3 pbc="T T T"
La -1.832 -0.884 -1.722
La -0.449 -2.113 1.561
Ru -3.732 -1.946 0.843
B -1.451 1.050 1.004
K 0.000 0.000 0.000
```

Properties
DFT total energy: -3.8861 eV per atom
DOS(E_F): 3.93 states/eV per cell
Symmetry: P4/mmm, No. 123

5.
The following is a PBEsol calculation of an optimized crystal structure of KLiB3, from Alexandria.

Structure (extended XYZ):
```
5
Lattice="-3.517 0.031 -3.412 3.397 -0.432 -3.505 -0.323 -4.881 0.288" Properties=species:S:1:pos:R:3 pbc="T T T"
B 1.699 -0.216 -1.752
B -0.161 -2.441 0.144
B -1.758 0.015 -1.706
Li -0.221 -2.641 -3.314
K 0.000 0.000 0.000
```

Properties
DFT total energy: -1.7545 eV per atom
DOS(E_F): 5.97 states/eV per cell
Symmetry: Pm-3m, No. 221

6.
The following is a PBEsol calculation of an optimized crystal structure of KLiB2Mo, from Alexandria.

Structure (extended XYZ):
```
5
Lattice="-1.942 2.541 -2.711 -1.220 -3.326 -2.243 -4.300 -0.306 2.793" Properties=species:S:1:pos:R:3 pbc="T T T"
Mo 0.000 0.000 0.000
B -0.971 1.270 -1.356
B -0.610 -1.663 -1.121
K -3.731 -0.546 -1.081
Li -2.150 -0.153 1.396
```

Properties
DFT total energy: -4.7667 eV per atom
DOS(E_F): 3.51 states/eV per cell
Symmetry: P4/mmm, No. 123

Question: What is the DOS(E_F) in the fourth record?
Answer: 3.93 states/eV per cell

Question: Look up the DOS(E_F) of the sixth one.
Answer: 3.51 states/eV per cell

Question: DOS(E_F) of number 6 (KLiB2Mo)?
Answer: 3.51 states/eV per cell

Question: The highest DOS(E_F) belongs to which entry?
Answer: KLa2NiB